# 1
## TmPuV (PBE)

Data for TmPuV after structural relaxation.

Values from the calculation:
SG   Imma
Total DFT energy (no corrections)   -54.56 eV per cell
Total magnetization   9.61 μB/cell

Cell lengths 5.6059, 5.6059, 5.6059 Å; angles 119.95, 117.48, 92.26 degrees
Positions (direct):
Tm: 0.3681 0.1181 0.2500
Tm: 0.6319 0.8819 0.7500
Pu: 0.0000 0.5000 0.5000
Pu: 0.5000 0.5000 0.0000
V: 0.0000 0.0000 0.5000
V: 0.0000 0.5000 0.0000

# 2
## TmPuV4 (PBE)

Data for TmPuV4 after structural relaxation.

Values from the calculation:
SG   F-43m
Total DFT energy (no corrections)   -53.43 eV per cell
Total magnetization   3.84 μB/cell

Cell lengths 5.2891, 5.2891, 5.2891 Å; angles 60.00, 60.00, 60.00 degrees
Positions (direct):
Tm: 0.0000 0.0000 0.0000
Pu: 0.7500 0.7500 0.7500
V: 0.3774 0.3774 0.3774
V: 0.3774 0.3774 0.8678
V: 0.3774 0.8678 0.3774
V: 0.8678 0.3774 0.3774

# 3
## YTm3Pu (PBE)

Data for YTm3Pu after structural relaxation.

Values from the calculation:
SG   P2_1/c
Total DFT energy (no corrections)   -134.80 eV per cell
Total magnetization   22.51 μB/cell

Cell lengths 6.4244, 5.9597, 16.7796 Å; angles 90.00, 112.26, 90.00 degrees
Positions (direct):
Y: 0.2142 0.0682 0.0909
Y: 0.2142 0.4318 0.5909
Y: 0.7858 0.5682 0.4091
Y: 0.7858 0.9318 0.9091
Tm: 0.0335 0.0688 0.4095
Tm: 0.0335 0.4312 0.9095
Tm: 0.1593 0.5278 0.3065
Tm: 0.1593 0.9722 0.8065
Tm: 0.4556 0.0280 0.3076
Tm: 0.4556 0.4720 0.8076
Tm: 0.5444 0.5280 0.1924
Tm: 0.5444 0.9720 0.6924
Tm: 0.8407 0.0278 0.1935
Tm: 0.8407 0.4722 0.6935
Tm: 0.9665 0.5688 0.0905
Tm: 0.9665 0.9312 0.5905
Pu: 0.4480 0.7490 0.0003
Pu: 0.4480 0.7510 0.5003
Pu: 0.5520 0.2490 0.4997
Pu: 0.5520 0.2510 0.9997